Entry from the Open Quantum Materials Database: a relaxed ErZrNO crystal (PBE-GGA).

a b c (Å): 3.931 3.931 7.502
angles (deg): 90.00 90.00 90.00
Positions (direct):
Zr: 0.000 0.500 0.130
Zr: 0.500 0.000 0.870
N: 0.000 0.500 0.675
N: 0.500 0.000 0.325
Er: 0.000 0.000 0.500
Er: 0.500 0.500 0.500
O: 0.000 0.000 0.000
O: 0.500 0.500 0.000

Results
Space group: P4/nmm

---

Entry from the Open Quantum Materials Database: a relaxed ErZrNO crystal (PBE-GGA).

a b c (Å): 6.511 7.852 4.659
angles (deg): 90.00 90.00 90.00
Positions (direct):
O: 0.598 0.358 0.550
O: 0.098 0.642 0.550
O: 0.402 0.642 0.050
O: 0.902 0.358 0.050
N: 0.428 0.111 0.051
N: 0.572 0.889 0.551
N: 0.072 0.111 0.551
N: 0.928 0.889 0.051
Er: 0.443 0.624 0.551
Er: 0.057 0.624 0.051
Er: 0.943 0.376 0.551
Er: 0.557 0.376 0.051
Zr: 0.093 0.126 0.051
Zr: 0.407 0.126 0.551
Zr: 0.593 0.874 0.051
Zr: 0.907 0.874 0.551

Results
Space group: Pbcm

---

Entry from the Open Quantum Materials Database: a relaxed Er3PN2 crystal (PBE-GGA).

a b c (Å): 3.550 3.550 8.991
angles (deg): 90.00 90.00 120.00
Positions (direct):
Er: 0.333 0.667 0.198
Er: 0.000 0.000 0.500
Er: 0.667 0.333 0.802
P: 0.000 0.000 0.000
N: 0.333 0.667 0.653
N: 0.667 0.333 0.347

Results
Space group: P-3m1

---

| no. | calculated total energy (eV/atom) |
| --- | --- |
| 1 | -7.878 |
| 2 | -8.725 |
| 3 | -7.551 |